## MnPt2O (PBE with a Hubbard U)

Data for crystalline MnPt2O at its relaxed geometry.

Values from the calculation:
- total DFT energy (no corrections) (eV/atom) = -6.011
- space group = I-42d, No. 122
- mass density (g/cm³) = 12.692

Cell: 7.0372 7.0372 5.5405 Å, 50.58 50.58 90.00°
With the nearest neighbours (Å) after each atom.
Fractional coordinates of all 8 atoms:
O (0.2500, 0.7500, 0.5000)  4 Pt 2.24, 2 Mn 2.44
O (0.5000, 0.5000, 0.0000)  4 Pt 2.24, 2 Mn 2.44
Pt (0.1990, 0.6250, 0.2500)  2 O 2.24
Pt (0.8750, 0.8010, 0.7500)  2 O 2.24
Pt (0.3750, 0.4490, 0.7500)  2 O 2.24
Pt (0.5510, 0.1250, 0.2500)  2 O 2.24
Mn (0.7500, 0.2500, 0.5000)  2 O 2.44
Mn (0.0000, 0.0000, 0.0000)  2 O 2.44